## Rb2ReNiF6 (GGA+U)

Data for Rb2ReNiF6 after structural relaxation.

The space group is I4/mmm (No. 139) and the conventional cell measures 6.2181, 6.2181 and 8.3093 Å, with angles of 90.00, 90.00 and 90.00 degrees. Symmetry generates all atoms from Rb at (0.0000, 0.5000, 0.2500), Re at (0.0000, 0.0000, 0.0000), Ni at (0.0000, 0.0000, 0.5000), F at (0.0000, 0.0000, 0.2564) and F at (0.2365, 0.2365, 0.0000).

The density of states at the Fermi level comes out at 1.493 states/eV/f.u. As for the crystal system: tetragonal. The total energy is -4.62 eV per atom.